# 1
BaEuZnSi after structural relaxation. Source: the Alexandria database, functional GGA-PBE.

abc: 5.5033 5.5033 5.5033
angles: 60.00 60.00 60.00
Positions (direct):
Ba 0.0000 0.0000 0.0000
Eu 0.5000 0.5000 0.5000
Zn 0.7500 0.7500 0.7500
Si 0.2500 0.2500 0.2500

## Properties
The value obtained for the formation energy from raw total energies is -250 meV/atom. The space group is F-43m (216). The value obtained for the total magnetization is 7.08 Bohr magnetons per cell. For the volume, the calculation gives 29.464 A^3/atom.


# 2
BaSmEu4 after structural relaxation. Source: the Alexandria database, functional GGA-PBE.

abc: 7.2279 7.2279 7.2279
angles: 60.00 60.00 60.00
Positions (direct):
Ba 0.0000 0.0000 0.0000
Sm 0.2500 0.2500 0.2500
Eu 0.1316 0.6228 0.6228
Eu 0.6228 0.1316 0.6228
Eu 0.6228 0.6228 0.1316
Eu 0.6228 0.6228 0.6228

## Properties
The value obtained for the formation energy is 0.20 eV per atom. The space group is F-43m (216). The value obtained for the total magnetization is 30.91 Bohr magnetons per cell. For the volume, the calculation gives 44.501 A^3/atom.


# 3
BaSm2Eu after structural relaxation. Source: the Alexandria database, functional GGA-PBE.

abc: 12.8514 12.8514 12.8514
angles: 17.07 17.07 17.07
Positions (direct):
Ba 0.0000 0.0000 0.0000
Sm 0.2457 0.2457 0.2457
Sm 0.7543 0.7543 0.7543
Eu 0.5000 0.5000 0.5000

## Properties
The value obtained for the formation energy is 0.17 eV per atom. The space group is R-3m (166). The value obtained for the total magnetization is 7.73 Bohr magnetons per cell. For the volume, the calculation gives 39.888 A^3/atom.


# 4
BaEuSn after structural relaxation. Source: the Alexandria database, functional GGA-PBE.

abc: 5.7688 5.7688 5.7688
angles: 60.00 60.00 60.00
Positions (direct):
Ba 0.0000 0.0000 0.0000
Eu 0.5000 0.5000 0.5000
Sn 0.7500 0.7500 0.7500

## Properties
The value obtained for the formation energy is -0.50 eV per atom. The space group is F-43m (216). The value obtained for the total magnetization is 6.99 Bohr magnetons per cell. For the volume, the calculation gives 45.249 A^3/atom.


# 5
BaEuSn2 after structural relaxation. Source: the Alexandria database, functional GGA-PBE.

abc: 5.2328 5.2328 4.8903
angles: 90.00 90.00 90.00
Positions (direct):
Ba 0.0000 0.0000 0.0000
Eu 0.5000 0.5000 0.0000
Sn 0.0000 0.5000 0.5000
Sn 0.5000 0.0000 0.5000

## Properties
The value obtained for the formation energy is -0.56 eV per atom. The space group is P4/mmm (123). The value obtained for the total magnetization is 7.05 Bohr magnetons per cell. For the volume, the calculation gives 33.477 A^3/atom.


# 6
BaEuSn after structural relaxation. Source: the Alexandria database, functional GGA-PBE.

abc: 7.3158 7.3158 7.3158
angles: 146.23 146.23 48.51
Positions (direct):
Ba 0.0000 0.0000 0.0000
Eu 0.2669 0.2669 0.0000
Sn 0.6572 0.6572 0.0000

## Properties
The value obtained for the formation energy is -0.42 eV per atom. The space group is I4mm (107). The value obtained for the total magnetization is 7.45 Bohr magnetons per cell. For the volume, the calculation gives 40.155 A^3/atom.


# 7
BaEuSn2 after structural relaxation. Source: the Alexandria database, functional GGA-PBE.

abc: 4.2716 4.2716 7.5583
angles: 90.00 90.00 90.00
Positions (direct):
Ba 0.0000 0.0000 0.0000
Eu 0.0000 0.0000 0.5000
Sn 0.5000 0.5000 0.2992
Sn 0.5000 0.5000 0.7008

## Properties
The value obtained for the formation energy is -0.61 eV per atom. The space group is P4/mmm (123). The value obtained for the total magnetization is 6.97 Bohr magnetons per cell. For the volume, the calculation gives 34.479 A^3/atom.


# 8
BaEuSn after structural relaxation. Source: the Alexandria database, functional GGA-PBE.

abc: 5.6052 5.6052 4.2186
angles: 90.00 90.00 120.00
Positions (direct):
Ba 0.0000 0.0000 0.0000
Eu 0.6667 0.3333 0.5661
Sn 0.3333 0.6667 0.3932

## Properties
The value obtained for the formation energy is -0.43 eV per atom. The space group is P3m1 (156). The value obtained for the total magnetization is 7.18 Bohr magnetons per cell. For the volume, the calculation gives 38.261 A^3/atom.


Which value of volume does entry 3 give? 39.888 A^3/atom


The lowest volume belongs to which entry? BaEuZnSi


Among the records above, which one has the highest volume? number 4


What is the formula in the third record? BaSm2Eu